DFT (PBE-GGA) results for a relaxed structure of Sr2AsAu.

- uncorrected energy (eV/atom) = -3.538
- N(E_F) (states/eV/cell) = 1.356
- density (g/cm3) = 6.56
- ΔH_f (0 K) (kJ/mol of formula units) = -276

a b c (Å): 6.4508 6.4508 6.4508
angles (deg): 139.26 139.26 58.97
Closest atoms and distances in Å follow each position.
Sites, in units of the cell vectors:
Sr 0.0000 0.0000 0.0000  4 Au 3.18
Sr 0.7500 0.2500 0.5000  4 As 3.18
As 0.2500 0.7500 0.5000  4 Sr 3.18
Au 0.5000 0.5000 0.0000  4 Sr 3.18